1.
! CdPbCl2 | Alexandria via LeMat-Bulk | PBE-GGA | optimized geometry; values from VASP
&SYSTEM
  ibrav = 0, nat = 4, ntyp = 3
/
ATOMIC_SPECIES
Cd 112.41 Cd.upf
Pb 207.20 Pb.upf
Cl 35.45 Cl.upf
ATOMIC_POSITIONS angstrom
Cd 3.360 2.766 1.476
Pb 6.499 3.028 0.000
Cl 12.432 5.792 0.000
Cl 3.092 -0.734 1.453
CELL_PARAMETERS angstrom
7.544 0.140 -0.023
4.960 5.686 0.023
-5.880 -3.713 2.929
! Total moment, μB/atom: 0.0000
! Raw formation energy, eV/f.u.: -2.55
! Volume, Å³/cell: 123.9

***

2.
! La3NiAg | Alexandria via LeMat-Bulk | PBE-GGA | optimized geometry; values from VASP
&SYSTEM
  ibrav = 0, nat = 5, ntyp = 3
/
ATOMIC_SPECIES
Ni 58.69 Ni.upf
La 138.91 La.upf
Ag 107.87 Ag.upf
ATOMIC_POSITIONS angstrom
Ni 0.000 0.000 0.000
La -1.851 -1.233 -1.569
Ag -4.653 0.726 0.198
La -1.237 2.388 -0.417
La -1.565 -0.429 2.184
CELL_PARAMETERS angstrom
-3.702 -2.465 -3.138
-3.131 -0.859 4.369
-2.474 4.776 -0.834
! Total DFT energy (no corrections), eV/atom: -4.70
! Total moment, μB/atom: 0.0000
! Volume, Å³/cell: 161.2

***

3.
! MgNbSiS2 | Alexandria via LeMat-Bulk | PBE-GGA | optimized geometry; values from VASP
&SYSTEM
  ibrav = 0, nat = 5, ntyp = 4
/
ATOMIC_SPECIES
Si 28.09 Si.upf
Nb 92.91 Nb.upf
S 32.06 S.upf
Mg 24.30 Mg.upf
ATOMIC_POSITIONS angstrom
Si 2.071 -1.393 0.465
Nb 0.000 0.000 0.000
S -1.348 -1.960 0.134
S -0.286 0.356 2.338
Mg 0.437 -2.996 2.937
CELL_PARAMETERS angstrom
-2.696 -3.920 0.268
4.142 -2.785 0.931
-0.572 0.713 4.676
! Total moment, μB/atom: 0.0000
! Raw formation energy, eV/f.u.: -0.20
! Volume, Å³/cell: 115.3

***

4.
! LiYZr2 | Alexandria via LeMat-Bulk | PBE-GGA | optimized geometry; values from VASP
&SYSTEM
  ibrav = 0, nat = 4, ntyp = 3
/
ATOMIC_SPECIES
Zr 91.22 Zr.upf
Li 6.94 Li.upf
Y 88.91 Y.upf
ATOMIC_POSITIONS angstrom
Zr 0.000 0.000 3.089
Zr 0.000 0.000 6.176
Li 1.616 2.401 1.544
Y 1.616 2.401 4.633
CELL_PARAMETERS angstrom
3.232 0.000 0.000
0.000 4.803 0.000
0.000 0.000 6.177
! Total DFT energy (no corrections), eV/atom: -6.08
! Total moment, μB/atom: 0.0000
! Volume, Å³/cell: 95.9